Record 1
A plane-wave DFT calculation with PBE-GGA was carried out for an optimized crystal structure of Sm2Ho3Rh2.

Summary:
For the total moment, the calculation gives 0.0 μB/cell. The calculation puts the energy relative to the elements at -0.57 eV per atom.

Cell lengths 6.3642, 6.3642, 8.9909 Å; angles 115.15, 115.15, 34.52 degrees
Sites, in units of the cell vectors:
Sm (0.1648, 0.1648, 0.3071)
Sm (0.8352, 0.8352, 0.6929)
Ho (0.3830, 0.3830, 0.0698)
Ho (0.5000, 0.5000, 0.5000)
Ho (0.6170, 0.6170, 0.9302)
Rh (0.1733, 0.1733, 0.7421)
Rh (0.8267, 0.8267, 0.2579)



Record 2
A plane-wave DFT calculation with PBE-GGA was carried out for an optimized crystal structure of MgZrRe4.

Summary:
For the total moment, the calculation gives 0.0 μB/cell. The calculation puts the energy relative to the elements at -0.12 eV per atom.

Cell lengths 5.2743, 5.2743, 5.2743 Å; angles 60.00, 60.00, 60.00 degrees
Sites, in units of the cell vectors:
Mg (0.0000, 0.0000, 0.0000)
Zr (0.2500, 0.2500, 0.2500)
Re (0.1239, 0.6254, 0.6254)
Re (0.6254, 0.1239, 0.6254)
Re (0.6254, 0.6254, 0.1239)
Re (0.6254, 0.6254, 0.6254)



Record 3
A plane-wave DFT calculation with PBE-GGA was carried out for an optimized crystal structure of Re3Ir5.

Summary:
For the total moment, the calculation gives 0.0 μB/cell. The calculation puts the energy relative to the elements at 0.45 eV per atom.

Cell lengths 7.6108, 7.6108, 4.9609 Å; angles 90.00, 90.00, 120.00 degrees
Sites, in units of the cell vectors:
Re (0.0000, 0.4183, 0.2500)
Re (0.0000, 0.5817, 0.7500)
Re (0.4183, 0.0000, 0.2500)
Re (0.4183, 0.4183, 0.7500)
Re (0.5817, 0.0000, 0.7500)
Re (0.5817, 0.5817, 0.2500)
Ir (0.0000, 0.2045, 0.7500)
Ir (0.0000, 0.7955, 0.2500)
Ir (0.2045, 0.0000, 0.7500)
Ir (0.2045, 0.2045, 0.2500)
Ir (0.3333, 0.6667, 0.0000)
Ir (0.3333, 0.6667, 0.5000)
Ir (0.6667, 0.3333, 0.0000)
Ir (0.6667, 0.3333, 0.5000)
Ir (0.7955, 0.0000, 0.2500)
Ir (0.7955, 0.7955, 0.7500)



Record 4
A plane-wave DFT calculation with PBE-GGA was carried out for an optimized crystal structure of Rb2Na9Au6.

Summary:
For the total moment, the calculation gives 0.0 μB/cell. The calculation puts the energy relative to the elements at -0.16 eV per atom.

Cell lengths 6.8904, 6.8904, 13.6593 Å; angles 90.00, 90.00, 120.00 degrees
Sites, in units of the cell vectors:
Rb (0.0000, 0.0000, 0.1746)
Rb (0.0000, 0.0000, 0.8254)
Na (0.0000, 0.5000, 0.0000)
Na (0.0000, 0.5000, 0.3394)
Na (0.0000, 0.5000, 0.6606)
Na (0.5000, 0.0000, 0.0000)
Na (0.5000, 0.0000, 0.3394)
Na (0.5000, 0.0000, 0.6606)
Na (0.5000, 0.5000, 0.0000)
Na (0.5000, 0.5000, 0.3394)
Na (0.5000, 0.5000, 0.6606)
Au (0.3333, 0.6667, 0.1715)
Au (0.3333, 0.6667, 0.5000)
Au (0.3333, 0.6667, 0.8285)
Au (0.6667, 0.3333, 0.1715)
Au (0.6667, 0.3333, 0.5000)
Au (0.6667, 0.3333, 0.8285)



Record 5
A plane-wave DFT calculation with PBE-GGA was carried out for an optimized crystal structure of MgFeSn2.

Summary:
For the total moment, the calculation gives 5.8 μB/cell. The calculation puts the energy relative to the elements at 0.34 eV per atom.

Cell lengths 9.7516, 9.7516, 9.7516 Å; angles 153.54, 153.54, 37.76 degrees
Sites, in units of the cell vectors:
Mg (0.0000, 0.0000, 0.0000)
Mg (0.7500, 0.2500, 0.5000)
Fe (0.2500, 0.7500, 0.5000)
Fe (0.5000, 0.5000, 0.0000)
Sn (0.1538, 0.6250, 0.0288)
Sn (0.3750, 0.4038, 0.5288)
Sn (0.5962, 0.1250, 0.9712)
Sn (0.8750, 0.8462, 0.4712)



Record 6
A plane-wave DFT calculation with PBE-GGA was carried out for an optimized crystal structure of Tb2SmY6.

Summary:
For the total moment, the calculation gives 0.0 μB/cell. The calculation puts the energy relative to the elements at 0.10 eV per atom.

Cell lengths 9.6080, 9.6080, 6.5790 Å; angles 98.78, 98.78, 95.79 degrees
Sites, in units of the cell vectors:
Tb (0.1147, 0.1625, 0.3695)
Tb (0.1625, 0.1147, 0.8695)
Tb (0.8375, 0.8853, 0.1305)
Tb (0.8853, 0.8375, 0.6305)
Sm (0.3797, 0.6203, 0.7500)
Sm (0.6203, 0.3797, 0.2500)
Y (0.0400, 0.4391, 0.7272)
Y (0.1501, 0.7778, 0.9969)
Y (0.2222, 0.8499, 0.5031)
Y (0.2784, 0.4492, 0.1846)
Y (0.4391, 0.0400, 0.2272)
Y (0.4492, 0.2784, 0.6846)
Y (0.5508, 0.7216, 0.3154)
Y (0.5609, 0.9600, 0.7728)
Y (0.7216, 0.5508, 0.8154)
Y (0.7778, 0.1501, 0.4969)
Y (0.8499, 0.2222, 0.0031)
Y (0.9600, 0.5609, 0.2728)